No. 1
## Nb4CoPbN2 (GGA-PBE)

Data for an optimized crystal structure of Nb4CoPbN2.

Results
**Uncorrected energy**: -70.754 eV/cell
**Volume**: 118.5 Å³/cell
**Total magnetic moment**: 0.32 μB per formula unit

a = 3.190 Å, b = 3.190 Å, c = 13.453 Å
α = 90.00°, β = 90.00°, γ = 120.00°
Fractional positions:
Nb  0.000  0.000  0.141
Nb  0.000  0.000  0.859
Nb  0.667  0.333  0.317
Nb  0.667  0.333  0.683
Co  0.667  0.333  0.000
Pb  0.000  0.000  0.500
N  0.333  0.667  0.229
N  0.333  0.667  0.771

No. 2
## Nb4CoSN2 (GGA-PBE)

Data for an optimized crystal structure of Nb4CoSN2.

Results
**Uncorrected energy**: -73.090 eV/cell
**Volume**: 107.1 Å³/cell
**Total magnetic moment**: 0.29 μB per formula unit

a = 3.183 Å, b = 3.183 Å, c = 12.204 Å
α = 90.00°, β = 90.00°, γ = 120.00°
Fractional positions:
Nb  0.000  0.000  0.149
Nb  0.000  0.000  0.851
Nb  0.333  0.667  0.346
Nb  0.333  0.667  0.654
Co  0.000  0.000  0.500
S  0.333  0.667  0.000
N  0.667  0.333  0.251
N  0.667  0.333  0.749

No. 3
## Sc2Nb4Co3N3 (GGA-PBE)

Data for an optimized crystal structure of Sc2Nb4Co3N3.

Results
**Uncorrected energy**: -215.434 eV/cell
**Volume**: 320.2 Å³/cell
**Total magnetic moment**: 1.47 μB per formula unit

a = 5.337 Å, b = 5.337 Å, c = 13.358 Å
α = 101.75°, β = 101.75°, γ = 59.98°
Fractional positions:
Sc  0.041  0.876  0.620
Sc  0.124  0.959  0.880
Sc  0.876  0.041  0.120
Sc  0.959  0.124  0.380
Nb  0.196  0.363  0.093
Nb  0.299  0.474  0.407
Nb  0.363  0.196  0.593
Nb  0.474  0.299  0.907
Nb  0.526  0.701  0.093
Nb  0.637  0.804  0.407
Nb  0.701  0.526  0.593
Nb  0.804  0.637  0.907
Co  0.085  0.402  0.750
Co  0.402  0.085  0.250
Co  0.426  0.574  0.250
Co  0.574  0.426  0.750
Co  0.598  0.915  0.750
Co  0.915  0.598  0.250
N  0.000  0.500  0.500
N  0.160  0.680  0.000
N  0.320  0.840  0.500
N  0.500  0.000  0.000
N  0.680  0.160  0.500
N  0.840  0.320  0.000

No. 4
## Sc4Nb2Co3N3 (GGA-PBE)

Data for an optimized crystal structure of Sc4Nb2Co3N3.

Results
**Uncorrected energy**: -199.885 eV/cell
**Volume**: 316.2 Å³/cell
**Total magnetic moment**: 0.34 μB per formula unit

a = 5.331 Å, b = 5.331 Å, c = 13.268 Å
α = 102.31°, β = 102.31°, γ = 59.91°
Fractional positions:
Sc  0.031  0.199  0.093
Sc  0.134  0.303  0.407
Sc  0.199  0.031  0.593
Sc  0.303  0.134  0.907
Sc  0.697  0.866  0.093
Sc  0.801  0.969  0.407
Sc  0.866  0.697  0.593
Sc  0.969  0.801  0.907
Nb  0.369  0.542  0.119
Nb  0.458  0.631  0.381
Nb  0.542  0.369  0.619
Nb  0.631  0.458  0.881
Co  0.073  0.416  0.751
Co  0.104  0.896  0.750
Co  0.416  0.073  0.251
Co  0.584  0.927  0.749
Co  0.896  0.104  0.250
Co  0.927  0.584  0.249
N  0.000  0.500  0.000
N  0.189  0.656  0.500
N  0.344  0.811  0.000
N  0.500  0.000  0.500
N  0.656  0.189  0.000
N  0.811  0.344  0.500